Below is Co2NiPb at its PBEsol-relaxed geometry, with properties calculated at the SCAN level.

Geometry as POSCAR:
```
Co2NiPb
1.0
3.756 0.000 0.000
0.000 3.736 0.000
0.000 0.000 3.736
Co Pb Ni
2 1 1
Direct
0.000 0.000 0.500
0.000 0.500 0.000
0.500 0.000 0.000
0.500 0.500 0.500
```

Calculated values
The calculation puts the uncorrected energy at -31.171 eV per atom. For the density, the calculation gives 12.16 g/cm³. The volume comes out at 13.1 Å³ per atom. For the formation energy, the calculation gives 0.47 eV/atom.

***

Below is TePb2Au2 at its PBEsol-relaxed geometry, with properties calculated at the SCAN level.

Geometry as POSCAR:
```
TePb2Au2
1.0
3.902 0.000 0.000
0.000 3.902 0.000
-1.951 -1.951 8.322
Pb Au Te
2 2 1
Direct
0.391 0.391 0.783
0.609 0.609 0.217
0.750 0.250 0.500
0.250 0.750 0.500
0.000 0.000 0.000
```

Calculated values
The calculation puts the uncorrected energy at -65.494 eV per atom. For the density, the calculation gives 12.27 g/cm³. The volume comes out at 25.3 Å³ per atom. The raw formation energy is -0.069 eV per atom.